No. 1
## Co2MoH2 (GGA-PBE)

Data for a relaxed Co2MoH2 crystal.

abc: 3.1961 3.1961 4.5801
angles: 69.58 69.58 90.00
Last column: nearest neighbours and their distance in Å.
Element x y z (fractional)
H 0.7500 0.2500 0.5000  4 Co 1.74
H 0.2500 0.7500 0.5000  4 Co 1.74
Mo 0.0000 0.0000 0.0000  8 H 2.55, 10 Co 2.61-2.67
Co 0.3350 0.3350 0.3301  4 H 1.74
Co 0.6650 0.6650 0.6699  4 H 1.74

magnetization: 0.00 Bohr magnetons per cell
ΔE to the lowest computed polymorph: 0.002 eV/atom
DOS at the Fermi energy: 0.233 states/eV/atom
DFT total energy: -6.25 eV/atom

---

No. 2
## CoMoH3 (GGA-PBE)

Data for a relaxed CoMoH3 crystal.

abc: 3.2121 3.2121 3.2121
angles: 90.00 90.00 90.00
Last column: nearest neighbours and their distance in Å.
Element x y z (fractional)
H 0.0000 0.5000 0.0000  2 Co 1.61
H 0.0000 0.0000 0.5000  2 Co 1.61
H 0.5000 0.0000 0.0000  2 Co 1.61
Mo 0.5000 0.5000 0.5000  12 H 2.27
Co 0.0000 0.0000 0.0000  6 H 1.61

magnetization: 0.00 Bohr magnetons per cell
ΔE to the lowest computed polymorph: 0.000 eV/atom
DOS at the Fermi energy: 0.530 states/eV/atom
DFT total energy: -5.47 eV/atom